## w
A plane-wave DFT calculation with PBE was carried out for a relaxed ErNbCo2 crystal.

Unit cell a=4.1781 b=4.1781 c=5.1941 alpha=66.28 beta=66.28 gamma=60.00
Fractional coordinates of all 4 atoms:
Co 0.2108 0.2108 0.3675
Co 0.7892 0.7892 0.6325
Er 0.0000 0.0000 0.0000
Nb 0.5000 0.5000 0.5000

As for the total magnetization: 0.000 μB per atom. Its space group is R-3m, No. 166. The value obtained for the volume is 17.39 A^3/atom.

=====

## x
A plane-wave DFT calculation with PBE was carried out for a relaxed ErNbCo2 crystal.

Unit cell a=3.1201 b=3.1201 c=6.7004 alpha=90.00 beta=90.00 gamma=90.00
Fractional coordinates of all 4 atoms:
Co 0.0000 0.0000 0.2036
Co 0.0000 0.0000 0.7964
Nb 0.5000 0.5000 0.0000
Er 0.5000 0.5000 0.5000

As for the total magnetization: 0.000 μB per atom. Its space group is P4/mmm, No. 123. The value obtained for the volume is 16.31 A^3/atom.

=====

## y
A plane-wave DFT calculation with PBE was carried out for a relaxed ErNbCo2 crystal.

Unit cell a=3.0867 b=4.5638 c=4.5638 alpha=90.00 beta=90.00 gamma=90.00
Fractional coordinates of all 4 atoms:
Co 0.0000 0.0000 0.5000
Co 0.0000 0.5000 0.0000
Er 0.5000 0.5000 0.5000
Nb 0.5000 0.0000 0.0000

As for the total magnetization: 0.415 μB per atom. Its space group is P4/mmm, No. 123. The value obtained for the volume is 16.07 A^3/atom.

=====

## z
A plane-wave DFT calculation with PBE was carried out for a relaxed ErNbCo2 crystal.

Unit cell a=4.4968 b=4.4968 c=4.4968 alpha=60.00 beta=60.00 gamma=60.00
Fractional coordinates of all 4 atoms:
Er 0.5000 0.5000 0.5000
Nb 0.0000 0.0000 0.0000
Co 0.7500 0.7500 0.7500
Co 0.2500 0.2500 0.2500

As for the total magnetization: 0.309 μB per atom. Its space group is Fm-3m, No. 225. The value obtained for the volume is 16.07 A^3/atom.

=====

Which of them is the least stable? Correct choice: z.

=====

## w
A plane-wave DFT calculation with PBE was carried out for a relaxed Nd2ErCo crystal.

Unit cell a=3.7509 b=6.2216 c=9.8179 alpha=90.00 beta=90.00 gamma=107.54
Fractional coordinates of all 8 atoms:
Co 0.7610 0.5223 0.7500
Co 0.2390 0.4777 0.2500
Nd 0.3631 0.7259 0.5726
Nd 0.6369 0.2741 0.4274
Nd 0.6369 0.2741 0.0726
Nd 0.3631 0.7259 0.9274
Er 0.9083 0.8162 0.2500
Er 0.0917 0.1838 0.7500

As for the total magnetization: 0.000 μB per atom. Its space group is Cmcm, No. 63. The value obtained for the volume is 27.31 A^3/atom.

=====

## x
A plane-wave DFT calculation with PBE was carried out for a relaxed Nd2ErCo crystal.

Unit cell a=6.2512 b=7.0572 c=9.8711 alpha=90.00 beta=90.00 gamma=90.00
Fractional coordinates of all 16 atoms:
Nd 0.1759 0.6763 0.0702
Nd 0.8241 0.3237 0.5702
Nd 0.8241 0.3237 0.9298
Nd 0.1759 0.6763 0.4298
Nd 0.3241 0.1763 0.4298
Nd 0.3241 0.1763 0.0702
Nd 0.6759 0.8237 0.9298
Nd 0.6759 0.8237 0.5702
Co 0.9529 0.6172 0.7500
Co 0.4529 0.8828 0.2500
Co 0.5471 0.1172 0.7500
Co 0.0471 0.3828 0.2500
Er 0.1564 0.9559 0.7500
Er 0.3436 0.4559 0.7500
Er 0.6564 0.5441 0.2500
Er 0.8436 0.0441 0.2500

As for the total magnetization: 0.000 μB per atom. Its space group is Pnma, No. 62. The value obtained for the volume is 27.22 A^3/atom.

=====

## y
A plane-wave DFT calculation with PBE was carried out for a relaxed Nd2ErCo crystal.

Unit cell a=3.6426 b=3.6426 c=10.6642 alpha=80.17 beta=80.17 gamma=60.00
Fractional coordinates of all 4 atoms:
Nd 0.1115 0.1115 0.6656
Nd 0.8885 0.8885 0.3344
Er 0.0000 0.0000 0.0000
Co 0.5000 0.5000 0.5000

As for the total magnetization: 0.000 μB per atom. Its space group is R-3m, No. 166. The value obtained for the volume is 30.03 A^3/atom.

=====

## z
A plane-wave DFT calculation with PBE was carried out for a relaxed Nd2ErCo crystal.

Unit cell a=3.5340 b=3.5340 c=8.7865 alpha=90.00 beta=90.00 gamma=90.00
Fractional coordinates of all 4 atoms:
Er 0.5000 0.5000 0.5000
Co 0.5000 0.5000 0.0000
Nd 0.0000 0.0000 0.1932
Nd 0.0000 0.0000 0.8068

As for the total magnetization: 0.486 μB per atom. Its space group is P4/mmm, No. 123. The value obtained for the volume is 27.43 A^3/atom.

=====

Which of them is the least stable? Correct choice: y.

=====

## w
A plane-wave DFT calculation with PBE was carried out for a relaxed NdEr2Co crystal.

Unit cell a=3.6173 b=3.6173 c=10.5000 alpha=80.08 beta=80.08 gamma=60.00
Fractional coordinates of all 4 atoms:
Er 0.1160 0.1160 0.6521
Er 0.8840 0.8840 0.3479
Nd 0.0000 0.0000 0.0000
Co 0.5000 0.5000 0.5000

As for the total magnetization: 0.000 μB per atom. Its space group is R-3m, No. 166. The value obtained for the volume is 29.15 A^3/atom.

=====

## x
A plane-wave DFT calculation with PBE was carried out for a relaxed NdEr2Co crystal.

Unit cell a=3.6383 b=6.3395 c=9.4179 alpha=90.00 beta=90.00 gamma=106.60
Fractional coordinates of all 8 atoms:
Co 0.7550 0.5102 0.7500
Co 0.2450 0.4898 0.2500
Er 0.3567 0.7143 0.9271
Er 0.6433 0.2857 0.0729
Er 0.3567 0.7143 0.5729
Er 0.6433 0.2857 0.4271
Nd 0.0817 0.1633 0.7500
Nd 0.9183 0.8367 0.2500

As for the total magnetization: 0.000 μB per atom. Its space group is P2_1/m, No. 11. The value obtained for the volume is 26.02 A^3/atom.

=====

Which of them is the least stable? Correct choice: w.

=====

## w
A plane-wave DFT calculation with PBE was carried out for a relaxed NdEr2Co crystal.

Unit cell a=3.3874 b=3.3874 c=8.8969 alpha=90.00 beta=90.00 gamma=90.00
Fractional coordinates of all 4 atoms:
Er 0.0000 0.0000 0.8214
Er 0.0000 0.0000 0.1786
Nd 0.5000 0.5000 0.5000
Co 0.5000 0.5000 0.0000

As for the total magnetization: 0.155 μB per atom. Its space group is P4/mmm, No. 123. The value obtained for the volume is 25.52 A^3/atom.

=====

## x
A plane-wave DFT calculation with PBE was carried out for a relaxed NdEr2Co crystal.

Unit cell a=3.7790 b=3.7790 c=9.2187 alpha=78.17 beta=78.17 gamma=60.00
Fractional coordinates of all 4 atoms:
Co 0.6662 0.6662 0.0015
Er 0.0543 0.0543 0.8370
Er 0.2779 0.2779 0.1662
Nd 0.5015 0.5015 0.4954

As for the total magnetization: 0.000 μB per atom. Its space group is R3m, No. 160. The value obtained for the volume is 27.69 A^3/atom.

=====

Which of them is the least stable? Correct choice: x.

=====

## w
A plane-wave DFT calculation with PBE was carried out for a relaxed Er6Co2Ni crystal.

Unit cell a=6.3537 b=7.0644 c=9.4782 alpha=90.00 beta=87.68 gamma=90.00
Fractional coordinates of all 18 atoms:
Er 0.6564 0.4479 0.2559
Er 0.8436 0.9479 0.2441
Er 0.3236 0.8305 0.0664
Er 0.1764 0.3305 0.4336
Er 0.6764 0.1695 0.9336
Er 0.3419 0.8253 0.4207
Er 0.1564 0.0521 0.7559
Er 0.1581 0.3253 0.0793
Er 0.8236 0.6695 0.5664
Er 0.8419 0.6747 0.9207
Er 0.3436 0.5521 0.7441
Er 0.6581 0.1747 0.5793
Co 0.0416 0.6172 0.2703
Co 0.5416 0.8828 0.7703
Co 0.9584 0.3828 0.7297
Co 0.4584 0.1172 0.2297
Ni 0.0000 0.0000 0.5000
Ni 0.5000 0.5000 0.0000

As for the total magnetization: 0.000 μB per atom. Its space group is P2_1/c, No. 14. The value obtained for the volume is 23.62 A^3/atom.

=====

## x
A plane-wave DFT calculation with PBE was carried out for a relaxed Er6Co2Ni crystal.

Unit cell a=8.0757 b=8.0757 c=8.0757 alpha=107.75 beta=110.81 gamma=109.86
Fractional coordinates of all 18 atoms:
Er 0.6850 0.3587 0.6737
Er 0.1861 0.7501 0.9362
Er 0.8139 0.7501 0.5640
Er 0.1861 0.2499 0.4360
Er 0.0909 0.2677 0.8232
Er 0.9091 0.7323 0.1768
Er 0.3150 0.6413 0.3263
Er 0.6850 0.0114 0.3263
Er 0.5555 0.7323 0.8232
Er 0.4445 0.2677 0.1768
Er 0.8139 0.2499 0.0638
Er 0.3150 0.9886 0.6737
Ni 0.0000 0.0000 0.0000
Ni 0.0000 0.5000 0.5000
Co 0.5000 0.6159 0.1159
Co 0.3294 0.0000 0.3294
Co 0.5000 0.3841 0.8841
Co 0.6706 0.0000 0.6706

As for the total magnetization: 0.000 μB per atom. Its space group is Immm, No. 71. The value obtained for the volume is 22.51 A^3/atom.

=====

Which of them is the least stable? Correct choice: w.

=====

## w
A plane-wave DFT calculation with PBE was carried out for a relaxed ErPaCoNi crystal.

Unit cell a=4.7148 b=4.7148 c=4.7148 alpha=60.00 beta=60.00 gamma=60.00
Fractional coordinates of all 4 atoms:
Er 0.5000 0.5000 0.5000
Pa 0.0000 0.0000 0.0000
Ni 0.2500 0.2500 0.2500
Co 0.7500 0.7500 0.7500

As for the total magnetization: 0.000 μB per atom. Its space group is F-43m, No. 216. The value obtained for the volume is 18.53 A^3/atom.

=====

## x
A plane-wave DFT calculation with PBE was carried out for a relaxed ErPaCoNi crystal.

Unit cell a=3.5795 b=3.8157 c=5.9398 alpha=90.00 beta=107.54 gamma=90.00
Fractional coordinates of all 4 atoms:
Er 0.1495 0.0000 0.2989
Ni 0.5657 0.5000 0.1314
Pa 0.8820 0.5000 0.7640
Co 0.4028 0.0000 0.8057

As for the total magnetization: 0.000 μB per atom. Its space group is Amm2, No. 38. The value obtained for the volume is 19.34 A^3/atom.

=====

Which of them is the least stable? Correct choice: w.

=====

## w
A plane-wave DFT calculation with PBE was carried out for a relaxed ErScCoNi crystal.

Unit cell a=4.5775 b=4.5775 c=4.5775 alpha=60.00 beta=60.00 gamma=60.00
Fractional coordinates of all 4 atoms:
Co 0.7500 0.7500 0.7500
Ni 0.2500 0.2500 0.2500
Er 0.0000 0.0000 0.0000
Sc 0.5000 0.5000 0.5000

As for the total magnetization: 0.001 μB per atom. Its space group is F-43m, No. 216. The value obtained for the volume is 16.96 A^3/atom.

=====

## x
A plane-wave DFT calculation with PBE was carried out for a relaxed ErScCoNi crystal.

Unit cell a=3.2240 b=3.2240 c=6.5163 alpha=90.00 beta=90.00 gamma=90.00
Fractional coordinates of all 4 atoms:
Er 0.5000 0.5000 0.1117
Sc 0.5000 0.5000 0.6022
Ni 0.0000 0.0000 0.8387
Co 0.0000 0.0000 0.3754

As for the total magnetization: 0.085 μB per atom. Its space group is P4mm, No. 99. The value obtained for the volume is 16.93 A^3/atom.

=====

Which of them is the least stable? Correct choice: w.

=====

## w
A plane-wave DFT calculation with PBE was carried out for a relaxed ErNpCo2 crystal.

Unit cell a=3.6344 b=3.6344 c=6.9217 alpha=74.78 beta=74.78 gamma=60.00
Fractional coordinates of all 4 atoms:
Er 0.5000 0.5000 0.5000
Np 0.0000 0.0000 0.0000
Co 0.7393 0.7393 0.7820
Co 0.2607 0.2607 0.2180

As for the total magnetization: 0.532 μB per atom. Its space group is R-3m, No. 166. The value obtained for the volume is 18.86 A^3/atom.

=====

## x
A plane-wave DFT calculation with PBE was carried out for a relaxed ErNpCo2 crystal.

Unit cell a=3.1804 b=4.7191 c=4.7191 alpha=90.00 beta=90.00 gamma=90.00
Fractional coordinates of all 4 atoms:
Co 0.0000 0.0000 0.5000
Co 0.0000 0.5000 0.0000
Np 0.5000 0.0000 0.0000
Er 0.5000 0.5000 0.5000

As for the total magnetization: 0.619 μB per atom. Its space group is P4/mmm, No. 123. The value obtained for the volume is 17.71 A^3/atom.

=====

Which of them is the least stable? Correct choice: w.

=====

## w
A plane-wave DFT calculation with PBE was carried out for a relaxed Er4CoOs crystal.

Unit cell a=6.0683 b=7.3746 c=7.7447 alpha=114.42 beta=108.40 gamma=99.20
Fractional coordinates of all 12 atoms:
Er 0.9841 0.7578 0.1211
Er 0.7876 0.6915 0.6419
Er 0.6371 0.3633 0.1211
Er 0.2124 0.3085 0.3581
Er 0.0159 0.2422 0.8789
Er 0.3629 0.6367 0.8789
Er 0.6456 0.0495 0.3581
Er 0.3544 0.9505 0.6419
Os 0.6154 0.3654 0.7309
Os 0.3846 0.6346 0.2691
Co 0.7506 0.0006 0.0013
Co 0.2494 0.9994 0.9987

As for the total magnetization: 0.000 μB per atom. Its space group is C2/c, No. 15. The value obtained for the volume is 23.50 A^3/atom.

=====

## x
A plane-wave DFT calculation with PBE was carried out for a relaxed Er4CoOs crystal.

Unit cell a=6.0183 b=6.3494 c=7.6941 alpha=90.00 beta=108.21 gamma=90.00
Fractional coordinates of all 12 atoms:
Er 0.9968 0.0000 0.7319
Er 0.5445 0.2500 0.3788
Er 0.9968 0.5000 0.7319
Er 0.4555 0.7500 0.6212
Er 0.4226 0.7500 0.0971
Er 0.0032 0.5000 0.2681
Er 0.0032 0.0000 0.2681
Er 0.5774 0.2500 0.9029
Co 0.7459 0.7500 0.4303
Co 0.2541 0.2500 0.5697
Os 0.1996 0.2500 0.0452
Os 0.8004 0.7500 0.9548

As for the total magnetization: 0.000 μB per atom. Its space group is P2_1/m, No. 11. The value obtained for the volume is 23.27 A^3/atom.

=====

Which of them is the least stable? Correct choice: x.

=====

## w
A plane-wave DFT calculation with PBE was carried out for a relaxed Er8Co2Os crystal.

Unit cell a=5.8283 b=7.3540 c=7.3540 alpha=113.45 beta=100.04 gamma=100.04
Fractional coordinates of all 11 atoms:
Er 0.1730 0.3608 0.3608
Er 0.5747 0.3410 0.0804
Er 0.5747 0.0804 0.3410
Er 0.9889 0.2161 0.7854
Er 0.9889 0.7854 0.2161
Er 0.3902 0.6698 0.9288
Er 0.8052 0.6415 0.6415
Er 0.3902 0.9288 0.6698
Os 0.1391 0.9981 0.9981
Co 0.4873 0.3165 0.6955
Co 0.4873 0.6955 0.3165

As for the total magnetization: 0.000 μB per atom. Its space group is Cm, No. 8. The value obtained for the volume is 24.93 A^3/atom.

=====

## x
A plane-wave DFT calculation with PBE was carried out for a relaxed Er8Co2Os crystal.

Unit cell a=4.8819 b=6.6321 c=8.7746 alpha=106.71 beta=106.15 gamma=90.00
Fractional coordinates of all 11 atoms:
Er 0.3287 0.0281 0.6573
Er 0.5948 0.4497 0.1897
Er 0.6713 0.9719 0.3427
Er 0.7989 0.6805 0.5978
Er 0.9647 0.2047 0.9295
Er 0.2011 0.3195 0.4022
Er 0.0353 0.7953 0.0705
Er 0.4052 0.5503 0.8103
Os 0.5000 0.0000 0.0000
Co 0.1881 0.7004 0.3763
Co 0.8119 0.2996 0.6237

As for the total magnetization: 0.000 μB per atom. Its space group is C2/m, No. 12. The value obtained for the volume is 23.67 A^3/atom.

=====

Which of them is the least stable? Correct choice: w.

=====

## w
A plane-wave DFT calculation with PBE was carried out for a relaxed ErPaCo2 crystal.

Unit cell a=3.6397 b=3.6397 c=7.1201 alpha=75.19 beta=75.19 gamma=60.00
Fractional coordinates of all 4 atoms:
Co 0.0759 0.0759 0.7723
Co 0.2580 0.2580 0.2259
Er 0.4972 0.4972 0.5083
Pa 0.6688 0.6688 0.9935

As for the total magnetization: 0.000 μB per atom. Its space group is R3m, No. 160. The value obtained for the volume is 19.51 A^3/atom.

=====

## x
A plane-wave DFT calculation with PBE was carried out for a relaxed ErPaCo2 crystal.

Unit cell a=4.2430 b=4.2430 c=5.4680 alpha=67.17 beta=67.17 gamma=60.00
Fractional coordinates of all 4 atoms:
Er 0.0000 0.0000 0.0000
Co 0.2097 0.2097 0.3709
Co 0.7903 0.7903 0.6291
Pa 0.5000 0.5000 0.5000

As for the total magnetization: 0.000 μB per atom. Its space group is R-3m, No. 166. The value obtained for the volume is 19.05 A^3/atom.

=====

Which of them is the least stable? Correct choice: w.